A relaxed structure of MgSiP2. Source: Alexandria via LeMat-Bulk, functional GGA-PBE.

Results
**Offset from the most stable computed form**: 0.891 eV per atom
**N(E_F)**: 2.732 states/eV/f.u.
**Energy relative to the elements, uncorrected**: 0.468 eV per atom
**Spin magnetization**: 0.00 μB per formula unit

POSCAR file:
```
MgSiP2
1.0
6.398 0.000 0.000
0.000 6.398 0.000
0.000 0.000 6.398
Mg Si P
4 4 8
Cartesian
0.000 0.000 0.000
0.000 3.199 3.199
3.199 0.000 3.199
3.199 3.199 0.000
1.599 1.599 1.599
1.599 4.798 4.798
4.798 1.599 4.798
4.798 4.798 1.599
0.000 0.000 3.199
0.000 3.199 0.000
1.599 1.599 4.798
1.599 4.798 1.599
3.199 0.000 0.000
3.199 3.199 3.199
4.798 1.599 1.599
4.798 4.798 4.798
```